No. 1
Below is crystalline BaLiTa3 at its relaxed geometry, with properties calculated at the GGA-PBE level.

a b c (Å): 4.7653 4.7653 4.7653
angles (deg): 90.00 90.00 90.00
Closest atoms and distances in Å follow each position.
Atoms (fractional coordinates):
1 Li 0.0000 0.0000 0.0000  6 Ta 2.38
2 Ba 0.5000 0.5000 0.5000  12 Ta 3.37
3 Ta 0.0000 0.5000 0.0000  2 Li 2.38
4 Ta 0.0000 0.0000 0.5000  2 Li 2.38
5 Ta 0.5000 0.0000 0.0000  2 Li 2.38

Calculated values
Its space group is Pm-3m (221). For the magnetization, the calculation gives 0.6 μB/cell. The formation energy comes out at 8.216 eV per formula unit. The value obtained for the density of states at the Fermi level is 2.125 states/eV per atom. The offset from the most stable computed form comes out at 0 meV per atom.


No. 2
Below is crystalline BaLiTa at its relaxed geometry, with properties calculated at the GGA-PBE level.

a b c (Å): 6.3448 8.5520 3.3090
angles (deg): 95.22 104.68 72.75
Closest atoms and distances in Å follow each position.
Atoms (fractional coordinates):
1 Li 0.3609 0.3597 0.6609  2 Li 2.68-2.78, 1 Ta 2.90
2 Li 0.5372 0.5473 0.3158  2 Li 2.68-2.78
3 Ba 0.9560 0.1797 0.1160  2 Ba 3.31, 1 Ta 3.38, 3 Li 3.42-3.60
4 Ba 0.5636 0.9093 0.2099  1 Li 3.20, 2 Ba 3.31, 3 Ta 3.44-3.52
5 Ta 0.9838 0.5602 0.9929  2 Ta 2.53-2.72
6 Ta 0.1331 0.7452 0.6527  2 Ta 2.53-2.72

Calculated values
Its space group is P1 (1). For the magnetization, the calculation gives 0.0 μB/cell. The formation energy comes out at 1.900 eV per formula unit. The value obtained for the density of states at the Fermi level is 0.950 states/eV per atom. The offset from the most stable computed form comes out at 205 meV per atom.


No. 3
Below is crystalline BaLiTa2 at its relaxed geometry, with properties calculated at the GGA-PBE level.

a b c (Å): 3.0852 3.0852 10.5900
angles (deg): 90.00 90.00 109.51
Closest atoms and distances in Å follow each position.
Atoms (fractional coordinates):
1 Ba 0.0000 0.0000 0.4910  4 Ba 3.09
2 Li 0.5000 0.5000 0.7918  2 Ta 2.95, 4 Li 3.09
3 Ta 0.0000 0.0000 0.0135  2 Ta 2.69, 2 Li 2.95
4 Ta 0.5000 0.5000 0.2037  2 Ta 2.69

Calculated values
Its space group is Cmm2 (35). For the magnetization, the calculation gives 0.0 μB/cell. The formation energy comes out at 2.521 eV per formula unit. The value obtained for the density of states at the Fermi level is 0.917 states/eV per atom. The offset from the most stable computed form comes out at 70 meV per atom.